Ti4CuSi | PBE | optimized geometry

Cell and atoms, written as extended XYZ:
```
12
Lattice="-3.111 -2.887 -4.241 -0.907 -4.587 3.787 -4.970 2.556 1.905" Properties=species:S:1:pos:R:3 pbc="T T T"
Si -2.009 -3.737 -0.227
Ti -5.039 0.133 2.309
Ti -4.580 -2.603 3.704
Ti -3.001 -1.623 0.490
Ti -6.412 -0.385 -0.576
Cu -2.938 -1.015 2.846
Ti -2.576 -4.532 2.028
Ti -4.408 -2.314 -2.252
Si 0.000 0.000 0.000
Ti -5.987 -3.294 0.962
Ti -3.949 -5.050 -0.857
Cu -4.040 -0.165 -1.168
```

Output
E	-6.70	eV/atom
total magnetization	0.00	μB per cell
energy relative to the elements, uncorrected	0.1521	eV per atom